Here is a relaxed structure of NaV2F6 from Alexandria. Energies are from GGA+U.

Output
Density of states at the Fermi level (states/eV per atom): 0.56
Magnetic moment (Bohr magnetons per cell): 5.0
Calculated total energy (Ry/atom): -0.4288
Crystal system: trigonal
V (Å³ per cell): 124

Cell: 4.813 5.460 5.460 Å, 120.00 90.00 90.00°
Positions (direct):
1 F 0.717 0.000 0.355
2 F 0.717 0.645 0.645
3 F 0.283 0.645 0.000
4 V 0.500 0.667 0.333
5 Na 0.000 0.000 0.000
6 F 0.283 0.355 0.355
7 V 0.500 0.333 0.667
8 F 0.717 0.355 0.000
9 F 0.283 0.000 0.645